## w
Material: Tm3Cu8Pd
Method: DFT, PBE
State: relaxed

abc: 5.0853 5.0853 8.8733
angles: 73.35 73.35 60.00
With the nearest neighbours (Å) after each atom.
Positions (direct):
Tm (0.3788, 0.3788, 0.8636)  12 Cu 2.95-3.07, 4 Tm 3.26-3.28
Tm (0.9886, 0.9886, 0.0341)  9 Cu 2.85-3.04, 1 Pd 2.96
Tm (0.5093, 0.5093, 0.4720)  12 Cu 2.81-3.10, 3 Pd 3.02
Cu (0.9439, 0.4341, 0.1880)  6 Cu 2.49-2.59
Cu (0.4383, 0.9386, 0.6846)  6 Cu 2.54-2.59
Cu (0.4341, 0.4341, 0.1880)  6 Cu 2.49-2.59
Cu (0.9386, 0.9386, 0.6846)  6 Cu 2.54-2.59
Cu (0.1878, 0.1878, 0.4367)  6 Cu 2.53-2.54
Cu (0.6871, 0.6871, 0.9387)  6 Cu 2.57-2.59
Cu (0.4341, 0.9439, 0.1880)  6 Cu 2.49-2.59
Cu (0.9386, 0.4383, 0.6846)  6 Cu 2.54-2.59
Pd (0.8709, 0.8709, 0.3872)  12 Cu 2.89-3.04, 4 Tm 2.96-3.02

Output
size of the total moment: 0.00 μB/cell
Fermi-level density of states: 0.748 states/eV per atom
space-group type: R3m, No. 160

---

## x
Material: Tm3Cu8Pd
Method: DFT, PBE
State: relaxed

abc: 5.0900 5.0900 8.3608
angles: 90.00 90.00 120.00
With the nearest neighbours (Å) after each atom.
Positions (direct):
Tm (0.6667, 0.3333, 0.4647)  12 Cu 2.80-3.10, 3 Pd 3.02
Tm (0.6667, 0.3333, 0.0690)  12 Cu 2.98-3.05, 4 Tm 3.26-3.31
Tm (0.0000, 0.0000, 0.9006)  9 Cu 2.84-3.07, 1 Pd 2.96
Cu (0.3333, 0.6667, 0.5016)  6 Cu 2.54-2.55
Cu (0.3333, 0.6667, 0.0073)  6 Cu 2.55-2.60
Cu (0.4992, 0.9984, 0.7495)  6 Cu 2.53-2.60, 1 Tm 2.80
Cu (0.4992, 0.5008, 0.7495)  6 Cu 2.53-2.60, 1 Tm 2.80
Cu (0.0016, 0.5008, 0.7495)  6 Cu 2.53-2.60, 1 Tm 2.80
Cu (0.1639, 0.3277, 0.2539)  6 Cu 2.50-2.59
Cu (0.1639, 0.8361, 0.2539)  6 Cu 2.50-2.59
Cu (0.6723, 0.8361, 0.2539)  6 Cu 2.50-2.59
Pd (0.0000, 0.0000, 0.5464)  12 Cu 2.84-3.06, 4 Tm 2.96-3.02

Output
size of the total moment: 0.00 μB/cell
Fermi-level density of states: 0.701 states/eV per atom
space-group type: P3m1, No. 156

---

Which structure is most stable, and how do the rest compare? From most to least stable: x, w.

---

## w
Material: Tm8Cu2Pd
Method: DFT, PBE
State: relaxed

abc: 5.6811 7.6645 7.6645
angles: 114.93 100.33 100.33
With the nearest neighbours (Å) after each atom.
Positions (direct):
Tm (0.5913, 0.3419, 0.0888)  2 Cu 2.77-2.82
Tm (0.5913, 0.0888, 0.3419)  2 Cu 2.77-2.82
Tm (0.1783, 0.3728, 0.3728)  1 Pd 2.95, 2 Cu 3.08
Tm (0.9885, 0.2164, 0.7900)  1 Pd 2.85, 2 Cu 3.06-3.10
Tm (0.9885, 0.7900, 0.2164)  1 Pd 2.85, 2 Cu 3.06-3.10
Tm (0.8018, 0.6334, 0.6334)  1 Pd 2.98, 2 Cu 3.06
Tm (0.3772, 0.9151, 0.6621)  2 Cu 2.78-2.85
Tm (0.3772, 0.6621, 0.9151)  2 Cu 2.78-2.85
Cu (0.4931, 0.7004, 0.3092)  8 Tm 2.77-3.10
Cu (0.4931, 0.3092, 0.7004)  8 Tm 2.77-3.10
Pd (0.1192, 0.0039, 0.0039)  8 Tm 2.85-3.13

Output
size of the total moment: 0.00 μB/cell
Fermi-level density of states: 1.265 states/eV per atom
space-group type: Cm, No. 8

---

## x
Material: Tm8Cu2Pd
Method: DFT, PBE
State: relaxed

abc: 5.0089 6.6269 8.9313
angles: 105.94 106.29 90.00
With the nearest neighbours (Å) after each atom.
Positions (direct):
Tm (0.4079, 0.5472, 0.8157)  1 Pd 2.96, 2 Cu 3.22
Tm (0.6692, 0.9796, 0.3385)  1 Cu 2.72, 1 Pd 2.94
Tm (0.7995, 0.6725, 0.5990)  1 Cu 2.72
Tm (0.9679, 0.2166, 0.9359)  1 Cu 2.74, 2 Pd 3.01
Tm (0.2005, 0.3275, 0.4010)  1 Cu 2.72
Tm (0.3308, 0.0204, 0.6615)  1 Cu 2.72, 1 Pd 2.94
Tm (0.5921, 0.4528, 0.1843)  1 Pd 2.96, 2 Cu 3.22
Tm (0.0321, 0.7834, 0.0641)  1 Cu 2.74, 2 Pd 3.01
Cu (0.8162, 0.2760, 0.6324)  3 Tm 2.72-2.74
Cu (0.1838, 0.7240, 0.3676)  3 Tm 2.72-2.74
Pd (0.5000, 0.0000, 0.0000)  8 Tm 2.94-3.01

Output
size of the total moment: 0.00 μB/cell
Fermi-level density of states: 0.946 states/eV per atom
space-group type: C2/m, No. 12

---

Which structure is most stable, and how do the rest compare? From most to least stable: x, w.

---

## w
Material: Tm8CuPd2
Method: DFT, PBE
State: relaxed

abc: 5.7385 7.7997 7.7997
angles: 116.89 100.78 100.78
With the nearest neighbours (Å) after each atom.
Positions (direct):
Tm (0.5873, 0.3460, 0.0962)  2 Pd 2.76-2.84, 1 Cu 2.99
Tm (0.5873, 0.0962, 0.3460)  2 Pd 2.76-2.84, 1 Cu 2.99
Tm (0.1743, 0.3677, 0.3677)  1 Cu 2.94, 2 Pd 3.21
Tm (0.9854, 0.2051, 0.7934)  1 Cu 2.90, 2 Pd 3.09-3.18
Tm (0.9854, 0.7934, 0.2051)  1 Cu 2.90, 2 Pd 3.09-3.18
Tm (0.7968, 0.6393, 0.6393)  1 Cu 2.94, 2 Pd 3.13
Tm (0.3664, 0.9088, 0.6568)  2 Pd 2.78-2.89, 1 Cu 3.01
Tm (0.3664, 0.6568, 0.9088)  2 Pd 2.78-2.89, 1 Cu 3.01
Pd (0.4985, 0.7086, 0.3096)  5 Tm 2.76-3.09
Pd (0.4985, 0.3096, 0.7086)  5 Tm 2.76-3.09
Cu (0.1532, 0.0023, 0.0023)  8 Tm 2.90-3.01

Output
size of the total moment: 0.00 μB/cell
Fermi-level density of states: 1.226 states/eV per atom
space-group type: Cm, No. 8

---

## x
Material: Tm8CuPd2
Method: DFT, PBE
State: relaxed

abc: 4.9962 6.6679 8.9701
angles: 104.56 106.17 90.00
With the nearest neighbours (Å) after each atom.
Positions (direct):
Tm (0.4086, 0.5443, 0.8172)  1 Cu 3.03, 2 Pd 3.27, 4 Tm 3.35-3.39
Tm (0.6662, 0.9768, 0.3324)  3 Pd 2.76-3.08, 1 Cu 2.91
Tm (0.7971, 0.6772, 0.5942)  1 Pd 2.77
Tm (0.9681, 0.2188, 0.9361)  1 Pd 2.80, 2 Cu 3.02
Tm (0.2029, 0.3228, 0.4058)  1 Pd 2.77
Tm (0.3338, 0.0232, 0.6676)  3 Pd 2.76-3.08, 1 Cu 2.91
Tm (0.5914, 0.4557, 0.1828)  1 Cu 3.03, 2 Pd 3.27, 4 Tm 3.35-3.39
Tm (0.0319, 0.7812, 0.0639)  1 Pd 2.80, 2 Cu 3.02
Cu (0.5000, 0.0000, 0.0000)  8 Tm 2.91-3.03
Pd (0.8121, 0.2729, 0.6243)  5 Tm 2.76-3.08
Pd (0.1879, 0.7271, 0.3757)  5 Tm 2.76-3.08

Output
size of the total moment: 0.00 μB/cell
Fermi-level density of states: 1.138 states/eV per atom
space-group type: C2/m, No. 12

---

Which structure is most stable, and how do the rest compare? From most to least stable: x, w.

---

## w
Material: UCuPd4
Method: DFT, PBE
State: relaxed

abc: 5.2823 5.2823 5.2823
angles: 60.00 60.00 60.00
With the nearest neighbours (Å) after each atom.
Positions (direct):
U (0.2500, 0.2500, 0.2500)  12 Pd 3.10, 4 Cu 3.23
Cu (0.0000, 0.0000, 0.0000)  12 Pd 3.10, 4 U 3.23
Pd (0.6256, 0.6256, 0.1233)  6 Pd 2.63-2.65
Pd (0.6256, 0.1233, 0.6256)  6 Pd 2.63-2.65
Pd (0.6256, 0.6256, 0.6256)  6 Pd 2.63-2.65
Pd (0.1233, 0.6256, 0.6256)  6 Pd 2.63-2.65

Output
size of the total moment: 1.56 μB/cell
Fermi-level density of states: 1.501 states/eV per atom
space-group type: F-43m, No. 216

---

## x
Material: UCuPd4
Method: DFT, PBE
State: relaxed

abc: 4.9397 4.9397 9.4841
angles: 78.96 78.96 62.27
With the nearest neighbours (Å) after each atom.
Positions (direct):
U (0.5000, 0.0000, 0.5000)  10 Pd 2.77-2.96, 2 Cu 3.01
U (0.0000, 0.5000, 0.0000)  10 Pd 2.77-2.96, 2 Cu 3.01
Cu (0.9660, 0.0340, 0.2500)  10 Pd 2.75-3.04, 2 U 3.01
Cu (0.0340, 0.9660, 0.7500)  10 Pd 2.75-3.04, 2 U 3.01
Pd (0.3946, 0.2707, 0.7553)  2 U 2.77-2.83, 3 Cu 2.79-3.04, 7 Pd 2.81-3.05
Pd (0.1644, 0.6737, 0.5084)  2 Cu 2.75-2.79, 3 U 2.78-2.96, 7 Pd 2.81-3.05
Pd (0.8356, 0.3263, 0.4916)  2 Cu 2.75-2.79, 3 U 2.78-2.96, 7 Pd 2.81-3.05
Pd (0.2707, 0.3946, 0.2553)  2 U 2.77-2.83, 3 Cu 2.79-3.04, 7 Pd 2.81-3.05
Pd (0.7293, 0.6054, 0.7447)  2 U 2.77-2.83, 3 Cu 2.79-3.04, 7 Pd 2.81-3.05
Pd (0.3263, 0.8356, 0.9916)  2 Cu 2.75-2.79, 3 U 2.78-2.96, 7 Pd 2.81-3.05
Pd (0.6737, 0.1644, 0.0084)  2 Cu 2.75-2.79, 3 U 2.78-2.96, 7 Pd 2.81-3.05
Pd (0.6054, 0.7293, 0.2447)  2 U 2.77-2.83, 3 Cu 2.79-3.04, 7 Pd 2.81-3.05

Output
size of the total moment: 3.20 μB/cell
Fermi-level density of states: 1.354 states/eV per atom
space-group type: C2/c, No. 15

---

Which structure is most stable, and how do the rest compare? From most to least stable: x, w.

---

## w
Material: UCu2Pd8
Method: DFT, PBE
State: relaxed

abc: 4.9287 7.2364 7.2364
angles: 43.60 92.46 92.46
With the nearest neighbours (Å) after each atom.
Positions (direct):
U (0.0000, 0.0000, 0.0000)  6 Pd 2.63-2.72
Cu (0.3892, 0.2554, 0.2554)  7 Pd 2.53-2.63
Cu (0.6108, 0.7446, 0.7446)  7 Pd 2.53-2.63
Pd (0.6081, 0.1577, 0.6560)  2 Cu 2.56-2.63, 1 U 2.63, 5 Pd 2.68-2.81
Pd (0.3919, 0.3440, 0.8423)  2 Cu 2.56-2.63, 1 U 2.63, 5 Pd 2.68-2.81
Pd (0.8825, 0.1956, 0.1956)  2 Cu 2.59-2.60, 1 U 2.72
Pd (0.1175, 0.8044, 0.8044)  2 Cu 2.59-2.60, 1 U 2.72
Pd (0.6081, 0.6560, 0.1577)  2 Cu 2.56-2.63, 1 U 2.63, 5 Pd 2.68-2.81
Pd (0.3919, 0.8423, 0.3440)  2 Cu 2.56-2.63, 1 U 2.63, 5 Pd 2.68-2.81
Pd (0.1107, 0.4090, 0.4090)  1 Cu 2.53, 5 Pd 2.72-2.81
Pd (0.8893, 0.5910, 0.5910)  1 Cu 2.53, 5 Pd 2.72-2.81

Output
size of the total moment: 0.21 μB/cell
Fermi-level density of states: 0.577 states/eV per atom
space-group type: C2/m, No. 12

---

## x
Material: UCu2Pd8
Method: DFT, PBE
State: relaxed

abc: 4.1523 6.2465 7.2579
angles: 106.38 106.62 90.00
With the nearest neighbours (Å) after each atom.
Positions (direct):
U (0.5000, 0.0000, 0.0000)  12 Pd 2.70-2.90
Cu (0.2259, 0.6395, 0.4517)  10 Pd 2.64-2.92, 2 Cu 2.91
Cu (0.7741, 0.3605, 0.5483)  10 Pd 2.64-2.92, 2 Cu 2.91
Pd (0.5967, 0.4568, 0.1935)  3 Cu 2.71-2.76, 1 U 2.77, 8 Pd 2.81-2.90
Pd (0.3189, 0.0755, 0.6379)  3 Cu 2.65-2.92, 1 U 2.70, 8 Pd 2.78-2.85
Pd (0.1431, 0.2012, 0.2863)  3 Cu 2.64-2.75, 7 Pd 2.78-2.85, 2 U 2.90
Pd (0.0472, 0.7307, 0.0944)  1 Cu 2.71, 9 Pd 2.79-2.90, 2 U 2.87
Pd (0.8569, 0.7988, 0.7137)  3 Cu 2.64-2.75, 7 Pd 2.78-2.85, 2 U 2.90
Pd (0.6811, 0.9245, 0.3621)  3 Cu 2.65-2.92, 1 U 2.70, 8 Pd 2.78-2.85
Pd (0.4033, 0.5432, 0.8065)  3 Cu 2.71-2.76, 1 U 2.77, 8 Pd 2.81-2.90
Pd (0.9528, 0.2693, 0.9056)  1 Cu 2.71, 9 Pd 2.79-2.90, 2 U 2.87

Output
size of the total moment: 0.66 μB/cell
Fermi-level density of states: 0.668 states/eV per atom
space-group type: C2/m, No. 12

---

Which structure is most stable, and how do the rest compare? From most to least stable: x, w.